Density functional theory data (GGA-PBE) for a geometry-optimized SrLiTa2 structure.

* DFT formation energy: 0.905 eV/atom
* calculated total energy: -23.7 eV/f.u.
* space-group type: No. 166

```
data_SrLiTa2
_chemical_formula_sum 'Sr1 Li1 Ta2'
_cell_length_a 11.422
_cell_length_b 11.422
_cell_length_c 11.422
_cell_angle_alpha 14.89
_cell_angle_beta 14.89
_cell_angle_gamma 14.89
_space_group_name_H-M_alt 'P 1'
_space_group_IT_number 1
_space_group_name_Hall 'P 1'
loop_
_atom_site_label
_atom_site_type_symbol
_atom_site_fract_x
_atom_site_fract_y
_atom_site_fract_z
_atom_site_occupancy
Li1 Li 0.250 0.250 0.250 1
Sr1 Sr 0.750 0.750 0.750 1
Ta1 Ta 0.994 0.994 0.994 1
Ta2 Ta 0.506 0.506 0.506 1
```